# 1
Sc8Fe2Ir | PBE-GGA | optimized geometry Values from VASP.

Computed properties:
raw total energy	-7.164	eV per atom
formation energy	-215	meV per atom

Structure (Quantum ESPRESSO input):
```
&SYSTEM
  ibrav = 0, nat = 11, ntyp = 3
/
ATOMIC_SPECIES
Sc 44.96 Sc.upf
Fe 55.84 Fe.upf
Ir 192.22 Ir.upf
CELL_PARAMETERS angstrom
3.931 -5.733 0.000
3.931 5.733 0.000
-1.422 0.000 4.900
ATOMIC_POSITIONS crystal
Sc 0.000 0.000 0.000
Sc 0.036 0.299 0.594
Sc 0.137 0.590 0.184
Sc 0.299 0.036 0.594
Sc 0.427 0.690 0.774
Sc 0.590 0.137 0.184
Sc 0.690 0.427 0.774
Sc 0.727 0.727 0.369
Fe 0.048 0.679 0.684
Fe 0.679 0.048 0.684
Ir 0.363 0.363 0.183
```

# 2
BaTa2CrS8 | PBE-GGA | optimized geometry Values from VASP.

Computed properties:
raw total energy	-6.545	eV per atom
raw formation energy	-856	meV per atom

Structure (Quantum ESPRESSO input):
```
&SYSTEM
  ibrav = 0, nat = 12, ntyp = 4
/
ATOMIC_SPECIES
Ba 137.33 Ba.upf
Ta 180.95 Ta.upf
Cr 52.00 Cr.upf
S 32.06 S.upf
CELL_PARAMETERS angstrom
3.124 1.803 8.532
-3.124 1.803 8.532
0.000 -3.607 8.532
ATOMIC_POSITIONS crystal
Ba 0.000 0.000 0.000
Ta 0.240 0.240 0.240
Ta 0.760 0.760 0.760
Cr 0.500 0.500 0.500
S 0.146 0.423 0.769
S 0.231 0.854 0.577
S 0.328 0.328 0.328
S 0.423 0.769 0.146
S 0.577 0.231 0.854
S 0.672 0.672 0.672
S 0.769 0.146 0.423
S 0.854 0.577 0.231
```

# 3
AlTcW | PBE-GGA | optimized geometry Values from VASP.

Computed properties:
raw total energy	-8.619	eV per atom
formation energy	402	meV per atom

Structure (Quantum ESPRESSO input):
```
&SYSTEM
  ibrav = 0, nat = 6, ntyp = 3
/
ATOMIC_SPECIES
Al 26.98 Al.upf
Tc 98.00 Tc.upf
W 183.84 W.upf
CELL_PARAMETERS angstrom
5.797 0.000 0.000
0.000 2.997 0.000
0.000 0.000 6.262
ATOMIC_POSITIONS crystal
Al 0.000 0.000 0.000
Al 0.500 0.000 0.000
Tc 0.250 0.500 0.252
Tc 0.750 0.500 0.748
W 0.000 0.000 0.500
W 0.500 0.000 0.500
```

# 4
Na3AgHg | PBE-GGA | optimized geometry Values from VASP.

Computed properties:
raw total energy	-1.199	eV per atom
formation energy	223	meV per atom

Structure (Quantum ESPRESSO input):
```
&SYSTEM
  ibrav = 0, nat = 5, ntyp = 3
/
ATOMIC_SPECIES
Na 22.99 Na.upf
Ag 107.87 Ag.upf
Hg 200.59 Hg.upf
CELL_PARAMETERS angstrom
5.658 0.000 0.000
0.000 5.658 0.000
0.000 0.000 5.658
ATOMIC_POSITIONS crystal
Na 0.000 0.000 0.500
Na 0.000 0.500 0.000
Na 0.500 0.000 0.000
Ag 0.500 0.500 0.500
Hg 0.000 0.000 0.000
```

# 5
HoMgZr2N4 | PBE-GGA | optimized geometry Values from VASP.

Computed properties:
raw total energy	-8.598	eV per atom
raw formation energy	-1527	meV per atom

Structure (Quantum ESPRESSO input):
```
&SYSTEM
  ibrav = 0, nat = 8, ntyp = 4
/
ATOMIC_SPECIES
Ho 164.93 Ho.upf
Mg 24.30 Mg.upf
Zr 91.22 Zr.upf
N 14.01 N.upf
CELL_PARAMETERS angstrom
5.658 0.000 0.000
0.000 3.284 0.000
-1.895 0.000 5.403
ATOMIC_POSITIONS crystal
Ho 0.000 0.000 0.000
Mg 0.500 0.500 0.000
Zr 0.000 0.500 0.500
Zr 0.500 0.000 0.500
N 0.248 0.000 0.737
N 0.258 0.500 0.262
N 0.742 0.500 0.738
N 0.752 0.000 0.263
```

# 6
Cd2HgAu | PBE-GGA | optimized geometry Values from VASP.

Computed properties:
raw total energy	-1.380	eV per atom
formation energy	-27	meV per atom

Structure (Quantum ESPRESSO input):
```
&SYSTEM
  ibrav = 0, nat = 4, ntyp = 3
/
ATOMIC_SPECIES
Cd 112.41 Cd.upf
Hg 200.59 Hg.upf
Au 196.97 Au.upf
CELL_PARAMETERS angstrom
2.308 1.333 5.235
-2.308 1.333 5.235
0.000 -2.665 5.235
ATOMIC_POSITIONS crystal
Cd 0.000 0.000 0.000
Cd 0.200 0.200 0.200
Hg 0.778 0.778 0.778
Au 0.593 0.593 0.593
```

# 7
Be3InPb | PBE-GGA | optimized geometry Values from VASP.

Computed properties:
raw total energy	-2.275	eV per atom
formation energy	1250	meV per atom

Structure (Quantum ESPRESSO input):
```
&SYSTEM
  ibrav = 0, nat = 5, ntyp = 3
/
ATOMIC_SPECIES
Be 9.01 Be.upf
In 114.82 In.upf
Pb 207.20 Pb.upf
CELL_PARAMETERS angstrom
4.773 0.000 0.000
0.000 4.773 0.000
0.000 0.000 4.773
ATOMIC_POSITIONS crystal
Be 0.000 0.000 0.500
Be 0.000 0.500 0.000
Be 0.500 0.000 0.000
In 0.500 0.500 0.500
Pb 0.000 0.000 0.000
```

# 8
LaInPb2 | PBE-GGA | optimized geometry Values from VASP.

Computed properties:
raw total energy	-4.008	eV per atom
formation energy	-237	meV per atom

Structure (Quantum ESPRESSO input):
```
&SYSTEM
  ibrav = 0, nat = 4, ntyp = 3
/
ATOMIC_SPECIES
La 138.91 La.upf
In 114.82 In.upf
Pb 207.20 Pb.upf
CELL_PARAMETERS angstrom
0.000 3.966 3.966
3.966 0.000 3.966
3.966 3.966 0.000
ATOMIC_POSITIONS crystal
La 0.000 0.000 0.000
In 0.250 0.250 0.250
Pb 0.500 0.500 0.500
Pb 0.750 0.750 0.750
```

# 9
Ba6Cd3Ir | PBE-GGA | optimized geometry Values from VASP.

Computed properties:
raw total energy	-2.514	eV per atom
formation energy	-200	meV per atom

Structure (Quantum ESPRESSO input):
```
&SYSTEM
  ibrav = 0, nat = 20, ntyp = 3
/
ATOMIC_SPECIES
Ba 137.33 Ba.upf
Cd 112.41 Cd.upf
Ir 192.22 Ir.upf
CELL_PARAMETERS angstrom
8.174 0.000 0.000
0.000 9.325 0.000
-7.416 0.000 12.111
ATOMIC_POSITIONS crystal
Ba 0.090 0.043 0.235
Ba 0.090 0.457 0.735
Ba 0.209 0.705 0.067
Ba 0.209 0.795 0.567
Ba 0.371 0.160 0.058
Ba 0.371 0.340 0.558
Ba 0.629 0.660 0.442
Ba 0.629 0.840 0.942
Ba 0.791 0.205 0.433
Ba 0.791 0.295 0.933
Ba 0.910 0.543 0.265
Ba 0.910 0.957 0.765
Cd 0.312 0.114 0.753
Cd 0.312 0.386 0.253
Cd 0.500 0.000 0.500
Cd 0.500 0.500 0.000
Cd 0.688 0.614 0.747
Cd 0.688 0.886 0.247
Ir 0.000 0.000 0.000
Ir 0.000 0.500 0.500
```

# 10
Ce2Ni4Pt3 | PBE-GGA | optimized geometry Values from VASP.

Computed properties:
raw total energy	-6.426	eV per atom
formation energy	-524	meV per atom

Structure (Quantum ESPRESSO input):
```
&SYSTEM
  ibrav = 0, nat = 9, ntyp = 3
/
ATOMIC_SPECIES
Ce 140.12 Ce.upf
Ni 58.69 Ni.upf
Pt 195.08 Pt.upf
CELL_PARAMETERS angstrom
0.000 4.605 6.166
2.618 0.000 6.166
2.618 4.605 0.000
ATOMIC_POSITIONS crystal
Ce 0.141 0.141 0.859
Ce 0.859 0.859 0.141
Ni 0.160 0.484 0.516
Ni 0.484 0.160 0.840
Ni 0.516 0.840 0.160
Ni 0.840 0.516 0.484
Pt 0.000 0.000 0.500
Pt 0.500 0.500 0.000
Pt 0.500 0.500 0.500
```

# 11
Pm4Dy3Er5 | PBE-GGA | optimized geometry Values from VASP.

Computed properties:
raw total energy	-4.403	eV per atom
formation energy	233	meV per atom

Structure (Quantum ESPRESSO input):
```
&SYSTEM
  ibrav = 0, nat = 12, ntyp = 3
/
ATOMIC_SPECIES
Pm 145.00 Pm.upf
Dy 162.50 Dy.upf
Er 167.26 Er.upf
CELL_PARAMETERS angstrom
8.012 -2.952 0.000
8.012 2.952 0.000
-4.175 0.000 8.344
ATOMIC_POSITIONS crystal
Pm 0.084 0.084 0.446
Pm 0.215 0.215 0.882
Pm 0.785 0.785 0.118
Pm 0.916 0.916 0.554
Dy 0.212 0.212 0.237
Dy 0.500 0.500 0.000
Dy 0.788 0.788 0.763
Er 0.000 0.000 0.000
Er 0.329 0.329 0.616
Er 0.429 0.429 0.299
Er 0.571 0.571 0.701
Er 0.671 0.671 0.384
```

# 12
Li2In3Ag2 | PBE-GGA | optimized geometry Values from VASP.

Computed properties:
raw total energy	-2.701	eV per atom
formation energy	-166	meV per atom

Structure (Quantum ESPRESSO input):
```
&SYSTEM
  ibrav = 0, nat = 7, ntyp = 3
/
ATOMIC_SPECIES
Li 6.94 Li.upf
In 114.82 In.upf
Ag 107.87 Ag.upf
CELL_PARAMETERS angstrom
4.062 -2.457 0.000
4.062 2.457 0.000
-3.534 0.000 7.044
ATOMIC_POSITIONS crystal
Li 0.076 0.076 0.237
Li 0.924 0.924 0.763
In 0.356 0.356 0.065
In 0.500 0.500 0.500
In 0.644 0.644 0.935
Ag 0.215 0.215 0.627
Ag 0.785 0.785 0.373
```

# 13
NaCa2PmCl8 | PBE-GGA | optimized geometry Values from VASP.

Computed properties:
raw total energy	-4.319	eV per atom
raw formation energy	-2249	meV per atom

Structure (Quantum ESPRESSO input):
```
&SYSTEM
  ibrav = 0, nat = 12, ntyp = 4
/
ATOMIC_SPECIES
Na 22.99 Na.upf
Ca 40.08 Ca.upf
Pm 145.00 Pm.upf
Cl 35.45 Cl.upf
CELL_PARAMETERS angstrom
6.424 0.000 0.000
0.000 8.435 0.000
-0.032 0.000 6.558
ATOMIC_POSITIONS crystal
Na 0.000 0.000 0.000
Ca 0.500 0.239 0.500
Ca 0.500 0.761 0.500
Pm 0.000 0.500 0.000
Cl 0.217 0.263 0.818
Cl 0.217 0.737 0.818
Cl 0.285 0.500 0.320
Cl 0.289 0.000 0.321
Cl 0.711 0.000 0.679
Cl 0.715 0.500 0.680
Cl 0.783 0.263 0.182
Cl 0.783 0.737 0.182
```